Record 1
## SmSnAu2 (PBE)

Data for a relaxed SmSnAu2 crystal. Values from VASP.

- V: 91.38 Å³ per cell
- Total DFT energy (no corrections): -17.63 eV/cell
- Density of states at the Fermi level: 0.62 states/eV/atom
- E_form: -0.589 eV per atom
- Spin magnetization: 0.00 μB per formula unit

The structure in Quantum ESPRESSO input format:
```
&SYSTEM
  ibrav = 0, nat = 4, ntyp = 3
/
ATOMIC_SPECIES
Au 196.97 Au.upf
Sn 118.71 Sn.upf
Sm 150.36 Sm.upf
ATOMIC_POSITIONS angstrom
Au -1.206 1.716 1.030
Au -1.492 -1.573 0.874
Sn -1.195 0.185 -1.707
Sm -3.892 0.328 0.196
CELL_PARAMETERS angstrom
-2.389 0.369 -3.414
-2.983 -3.145 1.747
-2.412 3.432 2.059
```

Record 2
## MgSb2SF (PBE)

Data for a relaxed MgSb2SF crystal. Values from VASP.

- V: 114.56 Å³ per cell
- Total DFT energy (no corrections): -17.28 eV/cell
- Density of states at the Fermi level: 0.91 states/eV/atom
- Formation energy (no corrections): -1.45 eV/f.u.
- Spin magnetization: 0.00 μB per formula unit

The structure in Quantum ESPRESSO input format:
```
&SYSTEM
  ibrav = 0, nat = 5, ntyp = 4
/
ATOMIC_SPECIES
Sb 121.76 Sb.upf
S 32.06 S.upf
Mg 24.30 Mg.upf
F 19.00 F.upf
ATOMIC_POSITIONS angstrom
Sb -2.330 -0.951 1.234
Sb -1.496 0.748 -2.249
S -3.544 -1.847 -1.750
Mg 0.282 -1.644 -0.735
F 0.000 0.000 0.000
CELL_PARAMETERS angstrom
-2.992 1.496 -4.498
0.564 -3.288 -1.469
-4.661 -1.902 2.468
```

Record 3
## La6PrTl5 (PBE)

Data for a relaxed La6PrTl5 crystal. Values from VASP.

- V: 388.17 Å³ per cell
- Total DFT energy (no corrections): -50.07 eV/cell
- Density of states at the Fermi level: 1.30 states/eV/atom
- E_form: -0.324 eV per atom
- Spin magnetization: 3.22 μB per formula unit

The structure in Quantum ESPRESSO input format:
```
&SYSTEM
  ibrav = 0, nat = 12, ntyp = 3
/
ATOMIC_SPECIES
Pr 140.91 Pr.upf
Tl 204.38 Tl.upf
La 138.91 La.upf
ATOMIC_POSITIONS angstrom
Pr 0.000 0.000 0.000
Tl -1.182 -6.421 6.237
Tl 0.929 -1.965 3.200
Tl -3.336 -1.983 -0.249
Tl 2.311 -4.708 6.532
Tl -2.250 -4.218 2.997
La -4.235 -5.060 5.712
La -0.876 -3.063 5.963
La -2.195 -0.822 2.686
La -5.213 -2.616 2.461
La -2.556 -7.576 3.271
La 0.802 -5.580 3.522
CELL_PARAMETERS angstrom
-0.736 0.528 5.645
-6.672 -3.967 -0.499
3.975 -7.201 4.087
```

Record 4
## Sc2TaIr (PBE)

Data for a relaxed Sc2TaIr crystal. Values from VASP.

- V: 72.88 Å³ per cell
- Total DFT energy (no corrections): -34.32 eV/cell
- Energy above the lowest structure with this stoichiometry: 164 meV/atom
- Density of states at the Fermi level: 1.26 states/eV/atom
- E_form: -0.236 eV per atom
- Spin magnetization: 0.00 μB per formula unit

The structure in Quantum ESPRESSO input format:
```
&SYSTEM
  ibrav = 0, nat = 4, ntyp = 3
/
ATOMIC_SPECIES
Ir 192.22 Ir.upf
Sc 44.96 Sc.upf
Ta 180.95 Ta.upf
ATOMIC_POSITIONS angstrom
Ir 2.131 -2.456 -0.222
Sc 0.000 0.000 0.000
Sc 0.751 -1.292 -2.455
Ta -0.712 -2.781 0.048
CELL_PARAMETERS angstrom
-2.092 -1.618 -2.186
3.594 -0.966 -2.724
0.668 -3.945 2.281
```

Record 5
## Na8SbPb2 (PBE)

Data for a relaxed Na8SbPb2 crystal. Values from VASP.

- V: 332.05 Å³ per cell
- Total DFT energy (no corrections): -24.44 eV/cell
- Energy above the lowest structure with this stoichiometry: 14 meV/atom
- Density of states at the Fermi level: 0.54 states/eV/atom
- Formation energy (no corrections): -2.35 eV/f.u.
- Spin magnetization: 0.00 μB per formula unit

The structure in Quantum ESPRESSO input format:
```
&SYSTEM
  ibrav = 0, nat = 11, ntyp = 3
/
ATOMIC_SPECIES
Na 22.99 Na.upf
Sb 121.76 Sb.upf
Pb 207.20 Pb.upf
ATOMIC_POSITIONS angstrom
Na 2.940 0.132 6.482
Na 4.807 -0.183 3.319
Na 1.153 2.362 0.579
Na 2.241 5.258 4.301
Na 0.468 7.601 -1.579
Na 4.249 3.567 1.598
Na 0.047 2.845 6.217
Na 1.318 5.721 1.198
Sb -0.696 6.587 3.884
Pb 3.323 4.835 -1.483
Pb 2.151 1.988 3.865
CELL_PARAMETERS angstrom
5.135 0.055 -1.534
-1.166 8.353 -3.611
-0.258 -1.391 8.465
```

Record 6
## SmPuCCl (PBE)

Data for a relaxed SmPuCCl crystal. Values from VASP.

- V: 82.39 Å³ per cell
- Total DFT energy (no corrections): -33.54 eV/cell
- Density of states at the Fermi level: 1.75 states/eV/atom
- Formation energy (no corrections): -3.42 eV/f.u.
- Spin magnetization: 5.53 μB per formula unit

The structure in Quantum ESPRESSO input format:
```
&SYSTEM
  ibrav = 0, nat = 4, ntyp = 4
/
ATOMIC_SPECIES
Sm 150.36 Sm.upf
Pu 244.00 Pu.upf
C 12.01 C.upf
Cl 35.45 Cl.upf
ATOMIC_POSITIONS angstrom
Sm 0.598 -2.481 4.172
Pu 0.647 -2.803 -1.584
C 2.270 -4.387 4.268
Cl -1.789 -1.871 2.419
CELL_PARAMETERS angstrom
-3.422 0.500 1.086
0.838 -2.820 -2.119
3.276 -3.429 5.858
```

Record 7
## Ho6Tm2Th3 (PBE)

Data for a relaxed Ho6Tm2Th3 crystal. Values from VASP.

- V: 364.39 Å³ per cell
- Total DFT energy (no corrections): -56.81 eV/cell
- Density of states at the Fermi level: 1.46 states/eV/atom
- E_form: 0.169 eV per atom
- Spin magnetization: 0.00 μB per formula unit

The structure in Quantum ESPRESSO input format:
```
&SYSTEM
  ibrav = 0, nat = 11, ntyp = 3
/
ATOMIC_SPECIES
Ho 164.93 Ho.upf
Tm 168.93 Tm.upf
Th 232.04 Th.upf
ATOMIC_POSITIONS angstrom
Ho -10.263 8.409 3.325
Ho -7.444 10.546 2.875
Ho -7.045 7.380 4.461
Ho -1.676 2.566 1.568
Ho -4.875 3.637 0.419
Ho -8.093 4.667 -0.717
Tm -7.383 4.443 2.662
Tm -7.755 7.603 1.082
Th 0.000 0.000 0.000
Th -3.197 1.046 -1.140
Th -6.392 2.093 -2.279
CELL_PARAMETERS angstrom
-3.571 4.204 -2.719
-6.018 -1.065 -0.699
-5.549 8.907 7.162
```